1.
Density functional theory data (GGA-PBE) for a geometry-optimized Rb2CaMo structure.

Results
formation energy	1.323	eV/atom
N(E_F)	5.01	states/eV/f.u.
DFT total energy	-0.0871	hartree per atom
spin magnetization	5.0	μB per formula unit

a b c (Å): 11.871 11.871 6.623
angles (deg): 90.00 90.00 90.00
Space group I-42d (No. 122)
Inequivalent atoms, fractional coordinates:
Rb1 0.162 0.250 0.125
Ca1 0.000 0.000 0.500
Mo1 0.000 0.000 0.000

2.
Density functional theory data (GGA-PBE) for a geometry-optimized PrNd4Er3 structure.

Results
formation energy	0.029	eV/atom
N(E_F)	14.08	states/eV/f.u.
DFT total energy	-0.1714	hartree per atom
spin magnetization	0.0	μB per formula unit

a b c (Å): 11.641 7.347 6.335
angles (deg): 90.00 90.00 90.00
Space group Pmn2_1 (No. 31)
Inequivalent atoms, fractional coordinates:
Pr1 0.000 0.125 0.000
Nd1 0.000 0.371 0.505
Nd2 0.000 0.629 0.994
Nd3 0.245 0.626 0.334
Er1 0.000 0.879 0.499
Er2 0.250 0.121 0.333

Please write out number 1 again, unchanged.
Density functional theory data (GGA-PBE) for a geometry-optimized Rb2CaMo structure.

Results
formation energy	1.323	eV/atom
N(E_F)	5.01	states/eV/f.u.
DFT total energy	-0.0871	hartree per atom
spin magnetization	5.0	μB per formula unit

a b c (Å): 11.871 11.871 6.623
angles (deg): 90.00 90.00 90.00
Space group I-42d (No. 122)
Inequivalent atoms, fractional coordinates:
Rb1 0.162 0.250 0.125
Ca1 0.000 0.000 0.500
Mo1 0.000 0.000 0.000